No. 1
# KRbBaNa, optimized geometry, DFT PBE
# Polymorph energy (0 for the lowest one) = 67 meV per atom
# Formation enthalpy at 0 K = 0.449 eV/f.u.
data_KRbBaNa
_cell_length_a 10.094
_cell_length_b 10.094
_cell_length_c 10.094
_cell_angle_alpha 90.00
_cell_angle_beta 90.00
_cell_angle_gamma 90.00
_symmetry_space_group_name_H-M 'F -4 3 m'
_symmetry_Int_Tables_number 216
_symmetry_space_group_name_Hall 'F -4 2 3'
loop_
_atom_site_label
_atom_site_type_symbol
_atom_site_fract_x
_atom_site_fract_y
_atom_site_fract_z
K1 K 0.000 0.000 0.000
Rb1 Rb 0.250 0.250 0.250
Ba1 Ba 0.250 0.250 0.750
Na1 Na 0.000 0.000 0.500



No. 2
# KBaNa2Re, optimized geometry, DFT PBE
# Formation enthalpy at 0 K = 6.290 eV/f.u.
data_KBaNa2Re
_cell_length_a 5.942
_cell_length_b 5.942
_cell_length_c 6.187
_cell_angle_alpha 90.00
_cell_angle_beta 90.00
_cell_angle_gamma 90.00
_symmetry_space_group_name_H-M 'P 4/m m m'
_symmetry_Int_Tables_number 123
_symmetry_space_group_name_Hall '-P 4 2'
loop_
_atom_site_label
_atom_site_type_symbol
_atom_site_fract_x
_atom_site_fract_y
_atom_site_fract_z
K1 K 0.000 0.000 0.000
Ba1 Ba 0.500 0.500 0.000
Na1 Na 0.000 0.500 0.500
Re1 Re 0.000 0.000 0.500



No. 3
# KBa2NaRh, optimized geometry, DFT PBE
# Polymorph energy (0 for the lowest one) = 13 meV per atom
# Formation enthalpy at 0 K = 0.159 eV/f.u.
data_KBa2NaRh
_cell_length_a 6.002
_cell_length_b 6.002
_cell_length_c 6.565
_cell_angle_alpha 90.00
_cell_angle_beta 90.00
_cell_angle_gamma 90.00
_symmetry_space_group_name_H-M 'P 4/m m m'
_symmetry_Int_Tables_number 123
_symmetry_space_group_name_Hall '-P 4 2'
loop_
_atom_site_label
_atom_site_type_symbol
_atom_site_fract_x
_atom_site_fract_y
_atom_site_fract_z
K1 K 0.000 0.000 0.000
Ba1 Ba 0.000 0.500 0.500
Na1 Na 0.500 0.500 0.000
Rh1 Rh 0.000 0.000 0.500



No. 4
# KBa2NaRh, optimized geometry, DFT PBE
# Polymorph energy (0 for the lowest one) = 0 meV per atom
# Formation enthalpy at 0 K = 0.095 eV/f.u.
data_KBa2NaRh
_cell_length_a 6.048
_cell_length_b 6.048
_cell_length_c 6.192
_cell_angle_alpha 90.00
_cell_angle_beta 90.00
_cell_angle_gamma 90.00
_symmetry_space_group_name_H-M 'P 4/m m m'
_symmetry_Int_Tables_number 123
_symmetry_space_group_name_Hall '-P 4 2'
loop_
_atom_site_label
_atom_site_type_symbol
_atom_site_fract_x
_atom_site_fract_y
_atom_site_fract_z
K1 K 0.000 0.000 0.000
Ba1 Ba 0.000 0.500 0.500
Na1 Na 0.500 0.500 0.000
Rh1 Rh 0.500 0.500 0.500



No. 5
# K2BaNaS, optimized geometry, DFT PBE
# Raw formation energy = -651 meV per atom
data_K2BaNaS
_cell_length_a 6.326
_cell_length_b 6.326
_cell_length_c 6.130
_cell_angle_alpha 90.00
_cell_angle_beta 90.00
_cell_angle_gamma 90.00
_symmetry_space_group_name_H-M 'P 4/m m m'
_symmetry_Int_Tables_number 123
_symmetry_space_group_name_Hall '-P 4 2'
loop_
_atom_site_label
_atom_site_type_symbol
_atom_site_fract_x
_atom_site_fract_y
_atom_site_fract_z
K1 K 0.000 0.500 0.000
Ba1 Ba 0.000 0.000 0.500
Na1 Na 0.500 0.500 0.500
S1 S 0.000 0.000 0.000



No. 6
# KBaNaSb, optimized geometry, DFT PBE
# Raw formation energy = -453 meV per atom
data_KBaNaSb
_cell_length_a 8.493
_cell_length_b 8.493
_cell_length_c 8.493
_cell_angle_alpha 90.00
_cell_angle_beta 90.00
_cell_angle_gamma 90.00
_symmetry_space_group_name_H-M 'F -4 3 m'
_symmetry_Int_Tables_number 216
_symmetry_space_group_name_Hall 'F -4 2 3'
loop_
_atom_site_label
_atom_site_type_symbol
_atom_site_fract_x
_atom_site_fract_y
_atom_site_fract_z
K1 K 0.000 0.000 0.000
Ba1 Ba 0.000 0.000 0.500
Na1 Na 0.250 0.250 0.250
Sb1 Sb 0.250 0.250 0.750



No. 7
# K2BaNa2Sb2, optimized geometry, DFT PBE
# Raw formation energy = -593 meV per atom
data_K2BaNa2Sb2
_cell_length_a 5.4992
_cell_length_b 5.4992
_cell_length_c 29.4430
_cell_angle_alpha 90.00
_cell_angle_beta 90.00
_cell_angle_gamma 120.00
_symmetry_space_group_name_H-M 'R -3 m'
_symmetry_Int_Tables_number 166
_symmetry_space_group_name_Hall '-R 3 2"'
loop_
_atom_site_label
_atom_site_type_symbol
_atom_site_fract_x
_atom_site_fract_y
_atom_site_fract_z
K1 K 0.0000 0.0000 0.1340
Ba1 Ba 0.0000 0.0000 0.0000
Na1 Na 0.0000 0.0000 0.3955
Sb1 Sb 0.0000 0.0000 0.2634



No. 8
# KBa2NaSb, optimized geometry, DFT PBE
# Raw formation energy = 418 meV per atom
data_KBa2NaSb
_cell_length_a 6.699
_cell_length_b 6.699
_cell_length_c 5.431
_cell_angle_alpha 90.00
_cell_angle_beta 90.00
_cell_angle_gamma 90.00
_symmetry_space_group_name_H-M 'P 4/m m m'
_symmetry_Int_Tables_number 123
_symmetry_space_group_name_Hall '-P 4 2'
loop_
_atom_site_label
_atom_site_type_symbol
_atom_site_fract_x
_atom_site_fract_y
_atom_site_fract_z
K1 K 0.000 0.000 0.000
Ba1 Ba 0.000 0.500 0.000
Na1 Na 0.000 0.000 0.500
Sb1 Sb 0.500 0.500 0.500



Number 1: E_tot -19.43 eV for the cell shown. Number 2: E_tot -11.82 eV for the cell shown. Number 3: E_tot -13.45 eV for the cell shown. Number 4: E_tot -13.52 eV for the cell shown. Number 5: E_tot -12.82 eV for the cell shown. Number 6: E_tot -41.10 eV for the cell shown. Number 7: E_tot -57.45 eV for the cell shown. Number 8: E_tot -8.30 eV for the cell shown.